# 1
La3ErP4: relaxed, PBE.

Structure (CIF):
```
data_La3ErP4
_cell_length_a 8.403
_cell_length_b 11.875
_cell_length_c 4.206
_cell_angle_alpha 90.00
_cell_angle_beta 90.00
_cell_angle_gamma 90.00
_space_group_name_H-M_alt 'C m m m'
_space_group_IT_number 65
_space_group_name_Hall '-C 2 2'
loop_
_atom_site_label
_atom_site_fract_x
_atom_site_fract_y
_atom_site_fract_z
La1 0.000 0.000 0.000
La2 0.250 0.250 0.500
Er1 0.000 0.500 0.000
P1 0.000 0.256 0.000
P2 0.240 0.500 0.500
```

Summary:
M_tot: 0.00 μB per atom
formation energy: -1.560 eV per atom

***

# 2
La3ErP4: relaxed, PBE.

Structure (CIF):
```
data_La3ErP4
_cell_length_a 7.275
_cell_length_b 8.414
_cell_length_c 7.278
_cell_angle_alpha 90.00
_cell_angle_beta 109.52
_cell_angle_gamma 90.00
_space_group_name_H-M_alt 'P 1 2/c 1'
_space_group_IT_number 13
_space_group_name_Hall '-P 2yc'
loop_
_atom_site_label
_atom_site_fract_x
_atom_site_fract_y
_atom_site_fract_z
La1 0.000 0.123 0.250
La2 0.000 0.372 0.750
La3 0.500 0.373 0.250
Er1 0.500 0.123 0.750
P1 0.255 0.369 0.507
P2 0.262 0.119 0.999
```

Summary:
M_tot: 0.00 μB per atom
formation energy: -1.562 eV per atom

***

| no. | V (Å³/atom) |
| --- | --- |
| 1 | 26.23 |
| 2 | 26.25 |